{"formula": "EuPaPb2", "functional": "PBE", "state": "relaxed", "cell": [[3.526, 0.000, 0.000], [0.000, 3.526, 0.000], [0.000, 0.000, 9.322]], "species": ["Eu", "Pa", "Pb", "Pb"], "fractional_positions": [[0.000, 0.000, 0.000], [0.000, 0.000, 0.500], [0.500, 0.500, 0.256], [0.500, 0.500, 0.744]], "total_energy_ev_per_atom": -6.981, "crystal_system": "tetragonal", "dos_ef_per_ev_atom": 1.69}